<A>
VASP calculation (GGA-PBE) on a relaxed TbNd4In crystal.

```
data_TbNd4In
_chemical_formula_sum 'Tb4 Nd16 In4'
_space_group_name_H-M_alt 'I 41 m d'
_space_group_IT_number 109
_space_group_name_Hall 'I 4bw -2'
_cell_length_a 11.701
_cell_length_b 11.701
_cell_length_c 6.845
_cell_angle_alpha 90.00
_cell_angle_beta 90.00
_cell_angle_gamma 90.00
loop_
_atom_site_label
_atom_site_fract_x
_atom_site_fract_y
_atom_site_fract_z
Tb1 0.000 0.000 0.000
Nd1 0.000 0.230 0.214
Nd2 0.000 0.239 0.709
In1 0.000 0.000 0.494
```

<B>
VASP calculation (GGA-PBE) on a relaxed TbNd4In crystal.

```
data_TbNd4In
_chemical_formula_sum 'Tb1 Nd4 In1'
_space_group_name_H-M_alt 'P 4/m m m'
_space_group_IT_number 123
_space_group_name_Hall '-P 4 2'
_cell_length_a 3.655
_cell_length_b 3.655
_cell_length_c 14.745
_cell_angle_alpha 90.00
_cell_angle_beta 90.00
_cell_angle_gamma 90.00
loop_
_atom_site_label
_atom_site_fract_x
_atom_site_fract_y
_atom_site_fract_z
Tb1 0.000 0.000 0.000
Nd1 0.000 0.000 0.354
Nd2 0.500 0.500 0.174
In1 0.500 0.500 0.500
```

Which structure is most stable? <B>, by 0.523 eV/atom over the runner-up.

<A>
VASP calculation (GGA-PBE) on a relaxed TbNd5In4 crystal.

```
data_TbNd5In4
_chemical_formula_sum 'Tb2 Nd10 In8'
_space_group_name_H-M_alt 'P m m n'
_space_group_IT_number 59
_cell_length_a 8.391
_cell_length_b 9.232
_cell_length_c 8.770
_cell_angle_alpha 90.00
_cell_angle_beta 90.00
_cell_angle_gamma 90.00
loop_
_space_group_symop_operation_xyz
'x,y,z'
'-x,-y,-z'
'-x+1/2,-y+1/2,z'
'x+1/2,y+1/2,-z'
'x+1/2,-y,-z'
'-x+1/2,y,z'
'-x,y+1/2,-z'
'x,-y+1/2,z'
loop_
_atom_site_label
_atom_site_fract_x
_atom_site_fract_y
_atom_site_fract_z
Tb1 0.250 0.250 0.083
Nd1 0.005 0.055 0.733
Nd2 0.250 0.750 0.657
In1 0.089 0.250 0.437
In2 0.250 0.590 0.992
```

<B>
VASP calculation (GGA-PBE) on a relaxed TbNd5In4 crystal.

```
data_TbNd5In4
_chemical_formula_sum 'Tb1 Nd5 In4'
_space_group_name_H-M_alt 'P 4/m m m'
_space_group_IT_number 123
_space_group_name_Hall '-P 4 2'
_cell_length_a 3.647
_cell_length_b 3.647
_cell_length_c 22.612
_cell_angle_alpha 90.00
_cell_angle_beta 90.00
_cell_angle_gamma 90.00
loop_
_atom_site_label
_atom_site_fract_x
_atom_site_fract_y
_atom_site_fract_z
Tb1 0.000 0.000 0.000
Nd1 0.500 0.500 0.115
Nd2 0.500 0.500 0.307
Nd3 0.500 0.500 0.500
In1 0.000 0.000 0.210
In2 0.000 0.000 0.403
```

Which structure is most stable? <B>, by 0.257 eV/atom over the runner-up.

<A>
VASP calculation (GGA-PBE) on a relaxed Tb3NdIn2 crystal.

```
data_Tb3NdIn2
_chemical_formula_sum 'Tb3 Nd1 In2'
_space_group_name_H-M_alt 'P m m 2'
_space_group_IT_number 25
_space_group_name_Hall 'P 2 -2'
_cell_length_a 3.445
_cell_length_b 4.578
_cell_length_c 11.331
_cell_angle_alpha 90.00
_cell_angle_beta 90.00
_cell_angle_gamma 90.00
loop_
_atom_site_label
_atom_site_fract_x
_atom_site_fract_y
_atom_site_fract_z
Tb1 0.000 0.000 0.000
Tb2 0.000 0.000 0.276
Tb3 0.000 0.500 0.786
Nd1 0.000 0.500 0.503
In1 0.500 0.000 0.657
In2 0.500 0.500 0.137
```

<B>
VASP calculation (GGA-PBE) on a relaxed Tb3NdIn2 crystal.

```
data_Tb3NdIn2
_chemical_formula_sum 'Tb6 Nd2 In4'
_space_group_name_H-M_alt 'P m c 21'
_space_group_IT_number 26
_space_group_name_Hall 'P 2c -2'
_cell_length_a 5.261
_cell_length_b 9.928
_cell_length_c 6.774
_cell_angle_alpha 90.00
_cell_angle_beta 90.00
_cell_angle_gamma 90.00
loop_
_atom_site_label
_atom_site_fract_x
_atom_site_fract_y
_atom_site_fract_z
Tb1 0.000 0.040 0.000
Tb2 0.000 0.316 0.346
Tb3 0.500 0.177 0.720
Nd1 0.500 0.462 0.070
In1 0.000 0.354 0.818
In2 0.500 0.141 0.246
```

Which structure is most stable? <B>, by 0.219 eV/atom over the runner-up.

<A>
VASP calculation (GGA-PBE) on a relaxed Tb3NdIn3 crystal.

```
data_Tb3NdIn3
_chemical_formula_sum 'Tb12 Nd4 In12'
_space_group_name_H-M_alt 'P 21 3'
_space_group_IT_number 198
_space_group_name_Hall 'P 2ac 2ab 3'
_cell_length_a 9.413
_cell_length_b 9.413
_cell_length_c 9.413
_cell_angle_alpha 90.00
_cell_angle_beta 90.00
_cell_angle_gamma 90.00
loop_
_atom_site_label
_atom_site_fract_x
_atom_site_fract_y
_atom_site_fract_z
Tb1 0.082 0.418 0.582
Tb2 0.177 0.823 0.323
Tb3 0.178 0.178 0.178
Nd1 0.071 0.571 0.929
In1 0.001 0.741 0.618
```

<B>
VASP calculation (GGA-PBE) on a relaxed Tb3NdIn3 crystal.

```
data_Tb3NdIn3
_chemical_formula_sum 'Tb6 Nd2 In6'
_space_group_name_H-M_alt 'P 63/m'
_space_group_IT_number 176
_space_group_name_Hall '-P 6c'
_cell_length_a 9.4949
_cell_length_b 9.4949
_cell_length_c 5.1792
_cell_angle_alpha 90.00
_cell_angle_beta 90.00
_cell_angle_gamma 120.00
loop_
_atom_site_label
_atom_site_fract_x
_atom_site_fract_y
_atom_site_fract_z
Tb1 0.0011 0.2341 0.2500
Nd1 0.3333 0.6667 0.7500
In1 0.0681 0.6161 0.2500
```

Which structure is most stable? <B>, by 0.036 eV/atom over the runner-up.

<A>
VASP calculation (GGA-PBE) on a relaxed TbNdTmIn crystal.

```
data_TbNdTmIn
_chemical_formula_sum 'Tb4 Nd4 Tm4 In4'
_space_group_name_H-M_alt 'F -4 3 m'
_space_group_IT_number 216
_space_group_name_Hall 'F -4 2 3'
_cell_length_a 7.768
_cell_length_b 7.768
_cell_length_c 7.768
_cell_angle_alpha 90.00
_cell_angle_beta 90.00
_cell_angle_gamma 90.00
loop_
_atom_site_label
_atom_site_fract_x
_atom_site_fract_y
_atom_site_fract_z
Tb1 0.000 0.000 0.000
Nd1 0.000 0.000 0.500
Tm1 0.250 0.250 0.750
In1 0.250 0.250 0.250
```

<B>
VASP calculation (GGA-PBE) on a relaxed TbNdTmIn crystal.

```
data_TbNdTmIn
_chemical_formula_sum 'Tb4 Nd4 Tm4 In4'
_space_group_name_H-M_alt 'F -4 3 m'
_space_group_IT_number 216
_space_group_name_Hall 'F -4 2 3'
_cell_length_a 7.749
_cell_length_b 7.749
_cell_length_c 7.749
_cell_angle_alpha 90.00
_cell_angle_beta 90.00
_cell_angle_gamma 90.00
loop_
_atom_site_label
_atom_site_fract_x
_atom_site_fract_y
_atom_site_fract_z
Tb1 0.000 0.000 0.000
Nd1 0.250 0.250 0.250
Tm1 0.000 0.000 0.500
In1 0.250 0.250 0.750
```

Which structure is most stable? <A>, by 0.063 eV/atom over the runner-up.

<A>
VASP calculation (GGA-PBE) on a relaxed Nd4InTe3 crystal.

```
data_Nd4InTe3
_chemical_formula_sum 'Nd16 In4 Te12'
_space_group_name_H-M_alt 'F m m m'
_space_group_IT_number 69
_space_group_name_Hall '-F 2 2'
_cell_length_a 9.011
_cell_length_b 9.026
_cell_length_c 12.748
_cell_angle_alpha 90.00
_cell_angle_beta 90.00
_cell_angle_gamma 90.00
loop_
_atom_site_label
_atom_site_fract_x
_atom_site_fract_y
_atom_site_fract_z
Nd1 0.000 0.000 0.248
Nd2 0.250 0.250 0.000
In1 0.000 0.000 0.000
Te1 0.000 0.000 0.500
Te2 0.250 0.250 0.250
```

<B>
VASP calculation (GGA-PBE) on a relaxed Nd4InTe3 crystal.

```
data_Nd4InTe3
_chemical_formula_sum 'Nd8 In2 Te6'
_space_group_name_H-M_alt 'C m m m'
_space_group_IT_number 65
_space_group_name_Hall '-C 2 2'
_cell_length_a 9.083
_cell_length_b 12.753
_cell_length_c 4.489
_cell_angle_alpha 90.00
_cell_angle_beta 90.00
_cell_angle_gamma 90.00
loop_
_atom_site_label
_atom_site_fract_x
_atom_site_fract_y
_atom_site_fract_z
Nd1 0.000 0.245 0.000
Nd2 0.246 0.000 0.500
In1 0.000 0.000 0.000
Te1 0.000 0.500 0.000
Te2 0.250 0.250 0.500
```

Which structure is most stable? <A>, by 0.019 eV/atom over the runner-up.

<A>
VASP calculation (GGA-PBE) on a relaxed Nd2InTe crystal.

```
data_Nd2InTe
_chemical_formula_sum 'Nd6 In3 Te3'
_space_group_name_H-M_alt 'R 3 m'
_space_group_IT_number 160
_space_group_name_Hall 'R 3 -2"'
_cell_length_a 4.1986
_cell_length_b 4.1986
_cell_length_c 25.8283
_cell_angle_alpha 90.00
_cell_angle_beta 90.00
_cell_angle_gamma 120.00
loop_
_atom_site_label
_atom_site_fract_x
_atom_site_fract_y
_atom_site_fract_z
Nd1 0.0000 0.0000 0.0000
Nd2 0.0000 0.0000 0.1769
In1 0.0000 0.0000 0.4212
Te1 0.0000 0.0000 0.5894
```

<B>
VASP calculation (GGA-PBE) on a relaxed Nd2InTe crystal.

```
data_Nd2InTe
_chemical_formula_sum 'Nd8 In4 Te4'
_space_group_name_H-M_alt 'P 1 2/c 1'
_space_group_IT_number 13
_space_group_name_Hall '-P 2yc'
_cell_length_a 6.379
_cell_length_b 6.379
_cell_length_c 14.296
_cell_angle_alpha 90.00
_cell_angle_beta 116.46
_cell_angle_gamma 90.00
loop_
_atom_site_label
_atom_site_fract_x
_atom_site_fract_y
_atom_site_fract_z
Nd1 0.120 0.248 0.120
Nd2 0.370 0.252 0.870
In1 0.375 0.248 0.375
Te1 0.125 0.252 0.625
```

Which structure is most stable? <B>, by 0.088 eV/atom over the runner-up.

<A>
VASP calculation (GGA-PBE) on a relaxed Nd2InTe crystal.

```
data_Nd2InTe
_chemical_formula_sum 'Nd6 In3 Te3'
_space_group_name_H-M_alt 'R -3 m'
_space_group_IT_number 166
_space_group_name_Hall '-R 3 2"'
_cell_length_a 4.3155
_cell_length_b 4.3155
_cell_length_c 24.1886
_cell_angle_alpha 90.00
_cell_angle_beta 90.00
_cell_angle_gamma 120.00
loop_
_atom_site_label
_atom_site_fract_x
_atom_site_fract_y
_atom_site_fract_z
Nd1 0.0000 0.0000 0.2483
In1 0.0000 0.0000 0.0000
Te1 0.0000 0.0000 0.5000
```

<B>
VASP calculation (GGA-PBE) on a relaxed Nd2InTe crystal.

```
data_Nd2InTe
_chemical_formula_sum 'Nd8 In4 Te4'
_space_group_name_H-M_alt 'C m c m'
_space_group_IT_number 63
_space_group_name_Hall '-C 2c 2'
_cell_length_a 4.638
_cell_length_b 24.574
_cell_length_c 4.438
_cell_angle_alpha 90.00
_cell_angle_beta 90.00
_cell_angle_gamma 90.00
loop_
_atom_site_label
_atom_site_fract_x
_atom_site_fract_y
_atom_site_fract_z
Nd1 0.000 0.065 0.250
Nd2 0.000 0.322 0.250
In1 0.000 0.458 0.250
Te1 0.000 0.192 0.250
```

<C>
VASP calculation (GGA-PBE) on a relaxed Nd2InTe crystal.

```
data_Nd2InTe
_chemical_formula_sum 'Nd2 In1 Te1'
_space_group_name_H-M_alt 'P 4/m m m'
_space_group_IT_number 123
_space_group_name_Hall '-P 4 2'
_cell_length_a 3.766
_cell_length_b 3.766
_cell_length_c 8.345
_cell_angle_alpha 90.00
_cell_angle_beta 90.00
_cell_angle_gamma 90.00
loop_
_atom_site_label
_atom_site_fract_x
_atom_site_fract_y
_atom_site_fract_z
Nd1 0.000 0.000 0.240
In1 0.500 0.500 0.500
Te1 0.500 0.500 0.000
```

Which structure is most stable? <B>, by 0.074 eV/atom over the runner-up.

<A>
VASP calculation (GGA-PBE) on a relaxed Nd3InTe crystal.

```
data_Nd3InTe
_chemical_formula_sum 'Nd12 In4 Te4'
_space_group_name_H-M_alt 'P n m a'
_space_group_IT_number 62
_space_group_name_Hall '-P 2ac 2n'
_cell_length_a 8.070
_cell_length_b 4.754
_cell_length_c 16.923
_cell_angle_alpha 90.00
_cell_angle_beta 90.00
_cell_angle_gamma 90.00
loop_
_atom_site_label
_atom_site_fract_x
_atom_site_fract_y
_atom_site_fract_z
Nd1 0.004 0.250 0.114
Nd2 0.128 0.250 0.554
Nd3 0.198 0.750 0.263
In1 0.075 0.750 0.688
Te1 0.212 0.250 0.953
```

<B>
VASP calculation (GGA-PBE) on a relaxed Nd3InTe crystal.

```
data_Nd3InTe
_chemical_formula_sum 'Nd6 In2 Te2'
_space_group_name_H-M_alt 'P 1 m 1'
_space_group_IT_number 6
_space_group_name_Hall 'P -2y'
_cell_length_a 8.718
_cell_length_b 4.504
_cell_length_c 9.365
_cell_angle_alpha 90.00
_cell_angle_beta 112.33
_cell_angle_gamma 90.00
loop_
_atom_site_label
_atom_site_fract_x
_atom_site_fract_y
_atom_site_fract_z
Nd1 0.000 0.000 0.000
Nd2 0.004 0.500 0.324
Nd3 0.166 0.000 0.693
Nd4 0.381 0.000 0.344
Nd5 0.553 0.000 0.062
Nd6 0.778 0.500 0.649
In1 0.266 0.500 0.020
In2 0.793 0.000 0.419
Te1 0.374 0.500 0.584
Te2 0.743 0.500 0.976
```

Which structure is most stable? <A>, by 0.090 eV/atom over the runner-up.

<A>
VASP calculation (GGA-PBE) on a relaxed Nd3ThIn4 crystal.

```
data_Nd3ThIn4
_chemical_formula_sum 'Nd3 Th1 In4'
_space_group_name_H-M_alt 'P 4/m m m'
_space_group_IT_number 123
_space_group_name_Hall '-P 4 2'
_cell_length_a 3.596
_cell_length_b 3.596
_cell_length_c 17.824
_cell_angle_alpha 90.00
_cell_angle_beta 90.00
_cell_angle_gamma 90.00
loop_
_atom_site_label
_atom_site_fract_x
_atom_site_fract_y
_atom_site_fract_z
Nd1 0.000 0.000 0.000
Nd2 0.000 0.000 0.249
Th1 0.000 0.000 0.500
In1 0.500 0.500 0.124
In2 0.500 0.500 0.374
```

<B>
VASP calculation (GGA-PBE) on a relaxed Nd3ThIn4 crystal.

```
data_Nd3ThIn4
_chemical_formula_sum 'Nd6 Th2 In8'
_space_group_name_H-M_alt 'I m m m'
_space_group_IT_number 71
_space_group_name_Hall '-I 2 2'
_cell_length_a 3.760
_cell_length_b 7.776
_cell_length_c 17.278
_cell_angle_alpha 90.00
_cell_angle_beta 90.00
_cell_angle_gamma 90.00
loop_
_atom_site_label
_atom_site_fract_x
_atom_site_fract_y
_atom_site_fract_z
Nd1 0.000 0.000 0.000
Nd2 0.000 0.500 0.198
Th1 0.000 0.000 0.500
In1 0.000 0.306 0.369
```

Which structure is most stable? <A>, by 0.179 eV/atom over the runner-up.

<A>
VASP calculation (GGA-PBE) on a relaxed NdThIn crystal.

```
data_NdThIn
_chemical_formula_sum 'Nd2 Th2 In2'
_space_group_name_H-M_alt 'I 4 m m'
_space_group_IT_number 107
_space_group_name_Hall 'I 4 -2'
_cell_length_a 4.159
_cell_length_b 4.159
_cell_length_c 10.398
_cell_angle_alpha 90.00
_cell_angle_beta 90.00
_cell_angle_gamma 90.00
loop_
_atom_site_label
_atom_site_fract_x
_atom_site_fract_y
_atom_site_fract_z
Nd1 0.000 0.000 0.000
Th1 0.000 0.000 0.683
In1 0.000 0.000 0.344
```

<B>
VASP calculation (GGA-PBE) on a relaxed NdThIn crystal.

```
data_NdThIn
_chemical_formula_sum 'Nd4 Th4 In4'
_space_group_name_H-M_alt 'C m c m'
_space_group_IT_number 63
_space_group_name_Hall '-C 2c 2'
_cell_length_a 4.537
_cell_length_b 16.112
_cell_length_c 5.019
_cell_angle_alpha 90.00
_cell_angle_beta 90.00
_cell_angle_gamma 90.00
loop_
_atom_site_label
_atom_site_fract_x
_atom_site_fract_y
_atom_site_fract_z
Nd1 0.000 0.075 0.250
Th1 0.000 0.243 0.750
In1 0.000 0.408 0.250
```

Which structure is most stable? <B>, by 0.073 eV/atom over the runner-up.